Record 1
DFT (PBE) results for an optimized crystal structure of TiPN3.

The formation energy without anion corrections is -0.52 eV/atom. Its space-group type is No. 12.

a b c (Å): 5.775 5.775 5.778
angles (deg): 106.66 106.66 31.32
Atoms (fractional coordinates):
Ti 0.138 0.138 0.347
Ti 0.862 0.862 0.653
P 0.352 0.352 0.132
P 0.648 0.648 0.868
N 0.177 0.177 0.008
N 0.348 0.348 0.413
N 0.490 0.490 0.866
N 0.510 0.510 0.134
N 0.652 0.652 0.587
N 0.823 0.823 0.992

Record 2
DFT (PBE) results for an optimized crystal structure of CsHgPb3.

Its space-group type is No. 221. As for the formation energy: 1.15 eV/atom. As for the energy above the most stable polymorph in this dataset: 6.37 eV/f.u.

a b c (Å): 6.536 6.536 6.536
angles (deg): 90.00 90.00 90.00
Atoms (fractional coordinates):
Cs 0.000 0.000 0.000
Hg 0.500 0.500 0.500
Pb 0.000 0.000 0.500
Pb 0.000 0.500 0.000
Pb 0.500 0.000 0.000

Record 3
DFT (PBE) results for an optimized crystal structure of Sm3Ga7Os2.

Its space-group type is No. 139. As for the formation energy: -0.27 eV/atom.

a b c (Å): 12.511 12.511 12.511
angles (deg): 158.24 158.24 30.96
Atoms (fractional coordinates):
Sm 0.000 0.000 0.000
Sm 0.175 0.175 0.000
Sm 0.825 0.825 0.000
Ga 0.088 0.588 0.500
Ga 0.294 0.294 0.000
Ga 0.412 0.912 0.500
Ga 0.500 0.500 0.000
Ga 0.588 0.088 0.500
Ga 0.706 0.706 0.000
Ga 0.912 0.412 0.500
Os 0.397 0.397 0.000
Os 0.603 0.603 0.000

Record 4
DFT (PBE) results for an optimized crystal structure of CrIr2Se.

The formation energy without anion corrections is 0.22 eV/atom. Its space-group type is No. 47.

a b c (Å): 2.884 3.607 5.728
angles (deg): 90.00 90.00 90.00
Atoms (fractional coordinates):
Cr 0.000 0.000 0.000
Ir 0.500 0.500 0.230
Ir 0.500 0.500 0.770
Se 0.000 0.000 0.500

Record 5
DFT (PBE) results for an optimized crystal structure of K2TiTlMo.

Its space-group type is No. 123. As for the formation energy: 1.15 eV/atom.

a b c (Å): 6.500 6.500 4.557
angles (deg): 90.00 90.00 90.00
Atoms (fractional coordinates):
K 0.000 0.500 0.000
K 0.500 0.000 0.000
Ti 0.000 0.000 0.500
Tl 0.500 0.500 0.500
Mo 0.000 0.000 0.000

Record 6
DFT (PBE) results for an optimized crystal structure of Si2Te.

The formation energy without anion corrections is 0.48 eV/atom. Its space-group type is No. 65. As for the energy above the most stable polymorph in this dataset: 1.38 eV/f.u.

a b c (Å): 8.211 8.211 2.881
angles (deg): 90.00 90.00 90.74
Atoms (fractional coordinates):
Si 0.145 0.516 0.000
Si 0.192 0.808 0.000
Si 0.484 0.855 0.000
Si 0.516 0.145 0.000
Si 0.808 0.192 0.000
Si 0.855 0.484 0.000
Te 0.172 0.172 0.000
Te 0.500 0.500 0.500
Te 0.828 0.828 0.000

no.,total moment (μB/cell)
1,0.0
2,0.0
3,0.0
4,2.1
5,1.1
6,0.0